First-principles (PBE-GGA) data for a geometry-optimized Sm2Dy5Sc4 structure, as listed in the Alexandria database.

Values from the calculation:
E above lowest polymorph   0.0 meV/atom
Energy of formation   0.051 eV per atom
Space group   C2/m (12)

a b c (Å): 3.564 8.618 11.753
angles (deg): 114.60 98.72 90.00
Fractional coordinates of all 11 atoms:
Sc 0.309 0.572 0.619
Sc 0.071 0.369 0.142
Sc 0.929 0.631 0.858
Sc 0.691 0.428 0.381
Dy 0.141 0.080 0.281
Dy 0.859 0.920 0.719
Dy 0.788 0.218 0.577
Dy 0.500 0.000 0.000
Dy 0.212 0.782 0.423
Sm 0.566 0.696 0.132
Sm 0.434 0.304 0.868

First-principles (PBE-GGA) data for a geometry-optimized PmDy2Ag6 structure, as listed in the Alexandria database.

Values from the calculation:
Energy of formation   -0.192 eV per atom
Space group   C2/c (15)

a b c (Å): 5.342 8.951 8.951
angles (deg): 76.03 81.64 81.64
Fractional coordinates of all 18 atoms:
Ag 0.970 0.434 0.676
Ag 0.694 0.245 0.983
Ag 0.806 0.017 0.755
Ag 0.470 0.676 0.434
Ag 0.530 0.324 0.566
Ag 0.857 0.648 0.900
Ag 0.030 0.566 0.324
Ag 0.306 0.755 0.017
Ag 0.143 0.352 0.100
Ag 0.643 0.100 0.352
Ag 0.194 0.983 0.245
Ag 0.357 0.900 0.648
Pm 0.250 0.125 0.875
Pm 0.750 0.875 0.125
Dy 0.087 0.209 0.457
Dy 0.913 0.791 0.543
Dy 0.587 0.457 0.209
Dy 0.413 0.543 0.791

First-principles (PBE-GGA) data for a geometry-optimized AcNd2TmSe4 structure, as listed in the Alexandria database.

Values from the calculation:
Energy relative to the elements, uncorrected   -1.771 eV per atom
Space group   P2/m (10)

a b c (Å): 4.159 7.557 7.262
angles (deg): 108.40 90.00 90.00
Fractional coordinates of all 8 atoms:
Se 0.500 0.268 0.252
Se 0.000 0.270 0.761
Se 0.500 0.732 0.748
Se 0.000 0.730 0.239
Nd 0.000 0.500 0.500
Nd 0.500 0.000 0.500
Ac 0.000 0.000 0.000
Tm 0.500 0.500 0.000

First-principles (PBE-GGA) data for a geometry-optimized Nd8Ge5I structure, as listed in the Alexandria database.

Values from the calculation:
Energy relative to the elements, uncorrected   -0.801 eV per atom
Space group   I-4 (82)

a b c (Å): 7.987 7.987 7.987
angles (deg): 109.23 109.96 109.23
Fractional coordinates of all 14 atoms:
Ge 0.873 0.881 0.253
Ge 0.747 0.620 0.628
Ge 0.008 0.380 0.127
Ge 0.372 0.119 0.992
Ge 0.500 0.000 0.500
I 0.250 0.500 0.750
Nd 0.634 0.379 0.876
Nd 0.261 0.241 0.357
Nd 0.745 0.242 0.366
Nd 0.980 0.096 0.739
Nd 0.497 0.621 0.255
Nd 0.643 0.904 0.884
Nd 0.124 0.758 0.503
Nd 0.116 0.759 0.020

First-principles (PBE-GGA) data for a geometry-optimized NpNb2Co9 structure, as listed in the Alexandria database.

Values from the calculation:
Energy of formation   -0.093 eV per atom
Space group   R-3m (166)

a b c (Å): 4.787 4.787 8.305
angles (deg): 73.25 73.25 60.00
Fractional coordinates of all 12 atoms:
Co 0.589 0.589 0.742
Co 0.411 0.411 0.258
Co 0.080 0.589 0.742
Co 0.411 0.920 0.258
Co 0.920 0.411 0.258
Co 0.500 0.500 0.500
Co 0.589 0.080 0.742
Co 0.335 0.335 0.995
Co 0.665 0.665 0.005
Nb 0.141 0.141 0.578
Nb 0.859 0.859 0.422
Np 0.000 0.000 0.000

First-principles (PBE-GGA) data for a geometry-optimized CuSnNO2 structure, as listed in the Alexandria database.

Values from the calculation:
Energy relative to the elements, uncorrected   0.243 eV per atom
Space group   P4/mmm (123)

a b c (Å): 3.772 3.772 3.903
angles (deg): 90.00 90.00 90.00
Fractional coordinates of all 5 atoms:
Sn 0.500 0.500 0.500
Cu 0.000 0.000 0.000
N 0.000 0.000 0.500
O 0.500 0.000 0.000
O 0.000 0.500 0.000

First-principles (PBE-GGA) data for a geometry-optimized VMoIr3 structure, as listed in the Alexandria database.

Values from the calculation:
E above lowest polymorph   103.2 meV/atom
Energy of formation   -0.047 eV per atom
Space group   Pmmn (59)

a b c (Å): 4.237 5.395 6.883
angles (deg): 90.00 90.00 90.00
Fractional coordinates of all 10 atoms:
V 0.250 0.250 0.554
V 0.750 0.750 0.446
Ir 0.250 0.250 0.925
Ir 0.750 0.750 0.075
Ir 0.750 0.015 0.741
Ir 0.750 0.485 0.741
Ir 0.250 0.985 0.259
Ir 0.250 0.515 0.259
Mo 0.250 0.750 0.833
Mo 0.750 0.250 0.167

First-principles (PBE-GGA) data for a geometry-optimized NdCdIrAu structure, as listed in the Alexandria database.

Values from the calculation:
Energy of formation   -0.336 eV per atom
Space group   F-43m (216)

a b c (Å): 4.936 4.936 4.936
angles (deg): 60.00 60.00 60.00
Fractional coordinates of all 4 atoms:
Cd 0.750 0.750 0.750
Au 0.000 0.000 0.000
Ir 0.500 0.500 0.500
Nd 0.250 0.250 0.250

First-principles (PBE-GGA) data for a geometry-optimized ZrSbRu2 structure, as listed in the Alexandria database.

Values from the calculation:
Energy relative to the elements, uncorrected   0.245 eV per atom
Space group   R3m (160)

a b c (Å): 9.224 9.224 9.224
angles (deg): 18.93 18.93 18.93
Fractional coordinates of all 4 atoms:
Ru 0.253 0.253 0.253
Ru 0.993 0.993 0.993
Sb 0.507 0.507 0.507
Zr 0.746 0.746 0.746

First-principles (PBE-GGA) data for a geometry-optimized Zr2FeCuIr structure, as listed in the Alexandria database.

Values from the calculation:
Energy of formation   0.755 eV per atom
Space group   P4/mmm (123)

a b c (Å): 4.806 4.105 4.806
angles (deg): 90.00 90.00 90.00
Fractional coordinates of all 5 atoms:
Ir 0.500 0.500 0.500
Fe 0.000 0.500 0.000
Zr 0.500 0.000 0.000
Zr 0.000 0.000 0.500
Cu 0.000 0.000 0.000

First-principles (PBE-GGA) data for a geometry-optimized NpHgP2O8 structure, as listed in the Alexandria database.

Values from the calculation:
Energy relative to the elements, uncorrected   -2.146 eV per atom
Space group   C2/m (12)

a b c (Å): 5.358 5.358 8.001
angles (deg): 100.10 100.10 64.25
Fractional coordinates of all 12 atoms:
O 0.361 0.806 0.198
O 0.790 0.790 0.097
O 0.639 0.194 0.802
O 0.806 0.361 0.198
O 0.210 0.210 0.903
O 0.773 0.773 0.414
O 0.227 0.227 0.586
O 0.194 0.639 0.802
Np 0.000 0.000 0.000
P 0.684 0.684 0.225
P 0.316 0.316 0.775
Hg 0.000 0.000 0.500

First-principles (PBE-GGA) data for a geometry-optimized TaV3H structure, as listed in the Alexandria database.

Values from the calculation:
E above lowest polymorph   2233.2 meV/atom
Space group   Pm-3m (221)

a b c (Å): 4.743 4.743 4.743
angles (deg): 90.00 90.00 90.00
Fractional coordinates of all 5 atoms:
Ta 0.000 0.000 0.000
V 0.000 0.500 0.000
V 0.500 0.000 0.000
V 0.000 0.000 0.500
H 0.500 0.500 0.500

First-principles (PBE-GGA) data for a geometry-optimized GaCuPd5 structure, as listed in the Alexandria database.

Values from the calculation:
E above lowest polymorph   0.0 meV/atom
Energy of formation   -0.210 eV per atom
Space group   Cmcm (63)

a b c (Å): 4.501 4.501 10.982
angles (deg): 90.00 90.00 78.33
Fractional coordinates of all 14 atoms:
Ga 0.000 0.000 0.500
Ga 0.000 0.000 0.000
Pd 0.435 0.149 0.611
Pd 0.941 0.059 0.750
Pd 0.851 0.565 0.611
Pd 0.149 0.435 0.111
Pd 0.565 0.851 0.389
Pd 0.059 0.941 0.250
Pd 0.565 0.851 0.111
Pd 0.149 0.435 0.389
Pd 0.851 0.565 0.889
Pd 0.435 0.149 0.889
Cu 0.625 0.375 0.250
Cu 0.375 0.625 0.750

First-principles (PBE-GGA) data for a geometry-optimized Ho5CoAg2 structure, as listed in the Alexandria database.

Values from the calculation:
Energy of formation   -0.214 eV per atom
Space group   Pbam (55)

a b c (Å): 4.030 8.649 11.704
angles (deg): 90.00 90.00 90.00
Fractional coordinates of all 16 atoms:
Ho 0.000 0.000 0.500
Ho 0.000 0.355 0.306
Ho 0.500 0.823 0.927
Ho 0.500 0.677 0.427
Ho 0.000 0.645 0.694
Ho 0.000 0.855 0.194
Ho 0.000 0.500 0.000
Ho 0.500 0.323 0.573
Ho 0.500 0.177 0.073
Ho 0.000 0.145 0.806
Co 0.000 0.500 0.500
Co 0.000 0.000 0.000
Ag 0.500 0.929 0.676
Ag 0.500 0.429 0.824
Ag 0.500 0.071 0.324
Ag 0.500 0.571 0.176

First-principles (PBE-GGA) data for a geometry-optimized SrNi2Au structure, as listed in the Alexandria database.

Values from the calculation:
Energy of formation   0.168 eV per atom
Space group   Pmmm (47)

a b c (Å): 3.433 3.395 6.428
angles (deg): 90.00 90.00 90.00
Fractional coordinates of all 4 atoms:
Au 0.500 0.500 0.750
Ni 0.000 0.000 0.935
Ni 0.000 0.000 0.565
Sr 0.500 0.500 0.250

First-principles (PBE-GGA) data for a geometry-optimized VRe3Si structure, as listed in the Alexandria database.

Values from the calculation:
E above lowest polymorph   0.0 meV/atom
Energy relative to the elements, uncorrected   1.141 eV per atom
Space group   Pm-3m (221)

a b c (Å): 4.368 4.368 4.368
angles (deg): 90.00 90.00 90.00
Fractional coordinates of all 5 atoms:
Re 0.000 0.500 0.000
Re 0.500 0.000 0.000
Re 0.000 0.000 0.500
V 0.500 0.500 0.500
Si 0.000 0.000 0.000

First-principles (PBE-GGA) data for a geometry-optimized La6AuSe2Cl3 structure, as listed in the Alexandria database.

Values from the calculation:
Energy relative to the elements, uncorrected   -1.574 eV per atom
Space group   C2/m (12)

a b c (Å): 7.500 7.500 7.187
angles (deg): 99.96 99.96 120.00
Fractional coordinates of all 12 atoms:
La 0.578 0.916 0.745
La 0.916 0.578 0.745
La 0.084 0.422 0.255
La 0.422 0.084 0.255
La 0.255 0.255 0.749
La 0.745 0.745 0.251
Cl 0.163 0.837 0.500
Cl 0.837 0.163 0.500
Cl 0.500 0.500 0.500
Se 0.332 0.668 0.000
Se 0.668 0.332 0.000
Au 0.000 0.000 0.000

First-principles (PBE-GGA) data for a geometry-optimized PaTe2O6F2 structure, as listed in the Alexandria database.

Values from the calculation:
Energy relative to the elements, uncorrected   -1.883 eV per atom
Space group   P-3m1 (164)

a b c (Å): 6.003 6.003 7.147
angles (deg): 90.00 90.00 120.00
Fractional coordinates of all 11 atoms:
O 0.829 0.171 0.170
O 0.171 0.829 0.830
O 0.658 0.829 0.830
O 0.171 0.342 0.830
O 0.829 0.658 0.170
O 0.342 0.171 0.170
Te 0.667 0.333 0.296
Te 0.333 0.667 0.704
F 0.333 0.667 0.400
F 0.667 0.333 0.600
Pa 0.000 0.000 0.000

First-principles (PBE-GGA) data for a geometry-optimized LiHgRu structure, as listed in the Alexandria database.

Values from the calculation:
E above lowest polymorph   6.9 meV/atom
Energy of formation   0.326 eV per atom
Space group   P3m1 (156)

a b c (Å): 4.542 4.542 2.699
angles (deg): 90.00 90.00 120.00
Fractional coordinates of all 3 atoms:
Li 0.667 0.333 0.302
Hg 0.000 0.000 0.072
Ru 0.333 0.667 0.627

First-principles (PBE-GGA) data for a geometry-optimized FeRuPbCl2 structure, as listed in the Alexandria database.

Values from the calculation:
Energy relative to the elements, uncorrected   1.169 eV per atom
Space group   P4/mmm (123)

a b c (Å): 5.569 5.569 5.348
angles (deg): 90.00 90.00 90.00
Fractional coordinates of all 5 atoms:
Fe 0.500 0.500 0.500
Pb 0.000 0.000 0.000
Cl 0.000 0.500 0.000
Cl 0.500 0.000 0.000
Ru 0.000 0.000 0.500